A plane-wave DFT calculation with PBE was carried out for crystalline LiTbCo at its relaxed geometry.

Output
uncorrected energy	-4.09	eV/atom

Cell lengths 4.2375, 4.2375, 4.2375 Å; angles 60.00, 60.00, 60.00 degrees
Last column: nearest neighbours and their distance in Å.
Sites, in units of the cell vectors:
Li: 0.0000 0.0000 0.0000  4 Tb 2.59, 4 Co 2.59
Tb: 0.7500 0.7500 0.7500  4 Li 2.59
Co: 0.2500 0.2500 0.2500  4 Li 2.59